La2MnCoO6: relaxed, PBE with a Hubbard U.

abc: 5.5872 5.5900 9.3789
angles: 90.00 125.70 90.00
Closest atoms and distances in Å follow each position.
Space group P2_1/c (No. 14)
One atom of each set of equivalent atoms:
La 0.2413 0.0325 0.2488 (multiplicity 4)  7 O 2.43-2.72
Mn 0.5000 0.0000 0.0000 (multiplicity 2)  6 O 1.93-2.07
Co 0.0000 0.0000 0.5000 (multiplicity 2)  6 O 1.95-1.97
O 0.1746 0.2246 0.9615 (multiplicity 4)  1 Co 1.97, 1 Mn 2.06
O 0.2329 0.7127 0.9608 (multiplicity 4)  1 Co 1.95, 1 Mn 2.07
O 0.3258 0.0140 0.7514 (multiplicity 4)  1 Mn 1.93, 1 Co 1.97

Computed properties:
E (eV per cell): -152.072
Theoretical density (g/cm³): 6.81